(1)
VASP calculation (GGA-PBE) on a relaxed LaInW2 crystal.

Computed properties:
energy of formation from the pure elements	5.45	eV/f.u.

```
data_LaInW2
_chemical_formula_sum 'La4 In4 W8'
_symmetry_space_group_name_H-M 'I -4 2 d'
_symmetry_Int_Tables_number 122
_symmetry_space_group_name_Hall 'I -4 2bw'
_cell_length_a 8.127
_cell_length_b 8.127
_cell_length_c 5.700
_cell_angle_alpha 90.00
_cell_angle_beta 90.00
_cell_angle_gamma 90.00
loop_
_atom_site_label
_atom_site_type_symbol
_atom_site_fract_x
_atom_site_fract_y
_atom_site_fract_z
_atom_site_occupancy
La1 La 0.000 0.000 0.000 1
In1 In 0.000 0.000 0.500 1
W1 W 0.214 0.250 0.625 1
```

(2)
VASP calculation (GGA-PBE) on a relaxed NbPRh3 crystal.

Computed properties:
energy of formation from the pure elements	0.77	eV/f.u.
E above lowest polymorph	0	meV/atom

```
data_NbPRh3
_chemical_formula_sum 'Nb1 P1 Rh3'
_symmetry_space_group_name_H-M 'P m -3 m'
_symmetry_Int_Tables_number 221
_symmetry_space_group_name_Hall '-P 4 2 3'
_cell_length_a 4.367
_cell_length_b 4.367
_cell_length_c 4.367
_cell_angle_alpha 90.00
_cell_angle_beta 90.00
_cell_angle_gamma 90.00
loop_
_atom_site_label
_atom_site_type_symbol
_atom_site_fract_x
_atom_site_fract_y
_atom_site_fract_z
_atom_site_occupancy
Nb1 Nb 0.000 0.000 0.000 1
P1 P 0.500 0.500 0.500 1
Rh1 Rh 0.000 0.500 0.500 1
```

Number 1: size of the total moment 0.00 μB/f.u.. Number 2: size of the total moment 0.03 μB/f.u..